<A>
This record from Alexandria via LeMat-Bulk describes an optimized crystal structure of TlHg2Br4. The functional is PBE.

Cell: 6.6666 6.6666 7.2413 Å, 90.00 90.00 90.00°
Closest atoms and distances in Å follow each position.
Space group P-42m (No. 111)
One atom of each set of equivalent atoms:
Tl 0.0000 0.0000 0.0000  4 Br 3.27
Hg 0.0000 0.5000 0.5000  4 Br 2.80
Br 0.2647 0.2647 0.2913  2 Hg 2.80

- total moment (μB/cell) = 0.00



<B>
This record from Alexandria via LeMat-Bulk describes an optimized crystal structure of TlHg2Br4. The functional is PBE.

Cell: 7.6929 8.6799 8.8879 Å, 104.68 98.92 100.92°
Closest atoms and distances in Å follow each position.
Space group P1 (No. 1)
One atom of each set of equivalent atoms:
Tl 0.0000 0.0000 0.0000  1 Hg 3.34, 6 Br 3.35-3.62
Tl 0.0325 0.7275 0.4052  6 Br 3.37-3.58
Hg 0.2258 0.2739 0.6380  4 Br 2.58-2.87
Hg 0.4216 0.6023 0.0872  3 Br 2.57-2.79
Hg 0.6252 0.0512 0.5249  2 Br 2.52-2.55
Hg 0.6786 0.2072 0.0444  1 Tl 3.34, 1 Br 3.59
Br 0.2033 0.4048 0.1839  1 Hg 2.57
Br 0.2045 0.5693 0.7710  1 Hg 2.58
Br 0.2717 0.0233 0.7415  1 Hg 2.63
Br 0.3439 0.8997 0.2302  2 Hg 2.79-2.95
Br 0.5718 0.3374 0.5542  1 Hg 2.55
Br 0.6945 0.8117 0.6146  1 Hg 2.52
Br 0.7493 0.6496 0.0482  1 Hg 2.57
Br 0.9518 0.1070 0.3822  2 Hg 2.72-3.00

- total moment (μB/cell) = 0.00



It is <B> that is the most stable of them.



<A>
This record from Alexandria via LeMat-Bulk describes an optimized crystal structure of TlHgBr4. The functional is PBE.

Cell: 9.1962 9.1962 9.1962 Å, 90.00 90.00 90.00°
Closest atoms and distances in Å follow each position.
Space group F-43m (No. 216)
One atom of each set of equivalent atoms:
Tl 0.0000 0.0000 0.0000  12 Br 3.81, 4 Hg 3.98
Hg 0.2500 0.2500 0.2500  12 Br 3.81, 4 Tl 3.98
Br 0.1244 0.1244 0.6244  6 Br 3.24-3.27

- total moment (μB/cell) = 4.58



<B>
This record from Alexandria via LeMat-Bulk describes an optimized crystal structure of TlHgBr4. The functional is PBE.

Cell: 9.1350 18.9608 6.6130 Å, 90.00 129.13 90.00°
Closest atoms and distances in Å follow each position.
Space group C2/c (No. 15)
One atom of each set of equivalent atoms:
Tl 0.0000 0.1623 0.2500  6 Br 2.96-3.17
Hg 0.0000 0.3739 0.7500  4 Br 2.65-2.76
Br 0.1886 0.2944 0.1998  1 Hg 2.76, 1 Tl 2.99
Br 0.2311 0.0603 0.2189  1 Hg 2.65

- total moment (μB/cell) = 0.00



It is <B> that is the most stable of them.



<A>
This record from Alexandria via LeMat-Bulk describes an optimized crystal structure of UHg2Br8. The functional is PBE.

Cell: 13.2177 7.6596 10.4870 Å, 90.00 111.14 90.00°
Closest atoms and distances in Å follow each position.
Space group C2/m (No. 12)
One atom of each set of equivalent atoms:
U 0.0000 0.0000 0.0000  6 Br 2.74-2.95
Hg 0.1665 0.0000 0.3577  2 Br 2.46-2.57
Br 0.0421 0.0000 0.7423  1 Hg 2.57
Br 0.1467 0.5000 0.4760  1 Hg 2.46
Br 0.1546 0.2482 0.1177  1 U 2.74

- total moment (μB/cell) = 4.00



<B>
This record from Alexandria via LeMat-Bulk describes an optimized crystal structure of UHg2Br8. The functional is PBE.

Cell: 13.6853 9.8180 6.8282 Å, 90.00 95.17 90.00°
Closest atoms and distances in Å follow each position.
Space group C2/m (No. 12)
One atom of each set of equivalent atoms:
U 0.0000 0.0000 0.0000  6 Br 2.73-2.84
Hg 0.2213 0.0000 0.7315  3 Br 2.47-2.72
Br 0.0875 0.2002 0.7718  1 Hg 2.72, 1 U 2.84
Br 0.1002 0.5000 0.2953  1 Hg 2.47
Br 0.1672 0.0000 0.2512  1 U 2.73

- total moment (μB/cell) = 4.00



It is <A> that is the most stable of them.



<A>
This record from Alexandria via LeMat-Bulk describes an optimized crystal structure of VHgBr2. The functional is PBE.

Cell: 8.1857 8.1857 8.2573 Å, 90.00 90.00 90.00°
Closest atoms and distances in Å follow each position.
Space group I-42d (No. 122)
One atom of each set of equivalent atoms:
V 0.0000 0.0000 0.0000  4 Br 2.51
Hg 0.0000 0.0000 0.5000  8 Br 3.83-3.85, 2 V 4.13
Br 0.1247 0.7500 0.1250  2 V 2.51

- total moment (μB/cell) = 12.00



<B>
This record from Alexandria via LeMat-Bulk describes an optimized crystal structure of VHgBr2. The functional is PBE.

Cell: 3.8125 3.8125 33.0769 Å, 90.00 90.00 120.00°
Closest atoms and distances in Å follow each position.
Space group R-3m (No. 166, hexagonal axes)
One atom of each set of equivalent atoms:
V 0.0000 0.0000 0.0000  6 Br 2.64
Hg 0.0000 0.0000 0.5000  6 Hg 3.81, 2 Br 4.06
Br 0.0000 0.0000 0.3773  3 V 2.64

- total moment (μB/cell) = 9.00



<C>
This record from Alexandria via LeMat-Bulk describes an optimized crystal structure of VHgBr2. The functional is PBE.

Cell: 7.2991 7.2991 7.2991 Å, 90.00 90.00 90.00°
Closest atoms and distances in Å follow each position.
Space group Fm-3m (No. 225)
One atom of each set of equivalent atoms:
V 0.0000 0.0000 0.0000  8 Br 3.16
Hg 0.0000 0.0000 0.5000  8 Br 3.16
Br 0.2500 0.2500 0.2500  4 Hg 3.16, 4 V 3.16

- total moment (μB/cell) = 12.00



It is <B> that is the most stable of them.



<A>
This record from Alexandria via LeMat-Bulk describes an optimized crystal structure of V3HgBr. The functional is PBE.

Cell: 4.5247 4.5247 4.5247 Å, 90.00 90.00 90.00°
Closest atoms and distances in Å follow each position.
Space group Pm-3m (No. 221)
One atom of each set of equivalent atoms:
V 0.0000 0.0000 0.5000  2 Br 2.26
Hg 0.5000 0.5000 0.5000  12 V 3.20
Br 0.0000 0.0000 0.0000  6 V 2.26

- total moment (μB/cell) = 2.99



<B>
This record from Alexandria via LeMat-Bulk describes an optimized crystal structure of V3HgBr. The functional is PBE.

Cell: 5.1451 5.1451 5.1451 Å, 90.00 90.00 90.00°
Closest atoms and distances in Å follow each position.
Space group Pm-3m (No. 221)
One atom of each set of equivalent atoms:
V 0.0000 0.0000 0.5000  2 Hg 2.57
Hg 0.0000 0.0000 0.0000  6 V 2.57
Br 0.5000 0.5000 0.5000  12 V 3.64

- total moment (μB/cell) = 9.14



It is <A> that is the most stable of them.



<A>
This record from Alexandria via LeMat-Bulk describes an optimized crystal structure of V2HgBr. The functional is PBE.

Cell: 7.2580 7.2580 6.5803 Å, 90.00 90.00 90.00°
Closest atoms and distances in Å follow each position.
Space group I-42d (No. 122)
One atom of each set of equivalent atoms:
V 0.2202 0.2500 0.1250  2 Br 2.55, 2 Hg 2.84
Hg 0.0000 0.0000 0.5000  4 V 2.84
Br 0.0000 0.0000 0.0000  4 V 2.55

- total moment (μB/cell) = 25.57



<B>
This record from Alexandria via LeMat-Bulk describes an optimized crystal structure of V2HgBr. The functional is PBE.

Cell: 6.4812 6.4812 6.4812 Å, 90.00 90.00 90.00°
Closest atoms and distances in Å follow each position.
Space group Fm-3m (No. 225)
One atom of each set of equivalent atoms:
V 0.2500 0.2500 0.2500  4 Hg 2.81, 4 Br 2.81
Hg 0.0000 0.0000 0.0000  8 V 2.81
Br 0.0000 0.0000 0.5000  8 V 2.81

- total moment (μB/cell) = 0.01



It is <A> that is the most stable of them.



<A>
This record from Alexandria via LeMat-Bulk describes an optimized crystal structure of HgW2Br. The functional is PBE.

Cell: 4.8169 4.8169 3.0428 Å, 90.00 90.00 90.00°
Closest atoms and distances in Å follow each position.
Space group P4/mmm (No. 123)
One atom of each set of equivalent atoms:
Hg 0.0000 0.0000 0.0000  8 W 2.85, 2 Hg 3.04
W 0.0000 0.5000 0.5000  4 Hg 2.85, 4 Br 2.85, 2 W 3.04
Br 0.5000 0.5000 0.0000  8 W 2.85, 2 Br 3.04

- total moment (μB/cell) = 0.00



<B>
This record from Alexandria via LeMat-Bulk describes an optimized crystal structure of HgW2Br. The functional is PBE.

Cell: 5.6783 9.1476 2.8802 Å, 90.00 90.00 90.00°
Closest atoms and distances in Å follow each position.
Space group Cmmm (No. 65)
One atom of each set of equivalent atoms:
Hg 0.0000 0.0000 0.0000  2 Br 2.84, 2 Hg 2.88, 8 W 3.05
W 0.2500 0.2500 0.5000  4 W 2.84-2.88, 4 Hg 3.05, 4 Br 3.05
Br 0.0000 0.5000 0.0000  2 Hg 2.84, 2 Br 2.88, 8 W 3.05

- total moment (μB/cell) = 0.00



<C>
This record from Alexandria via LeMat-Bulk describes an optimized crystal structure of HgW2Br. The functional is PBE.

Cell: 3.1947 4.8319 11.7607 Å, 90.00 90.00 90.00°
Closest atoms and distances in Å follow each position.
Space group Imm2 (No. 44)
One atom of each set of equivalent atoms:
Hg 0.0000 0.0000 0.0000  6 W 2.90-2.93, 2 Hg 3.19
W 0.0000 0.0000 0.5136  2 W 2.42
W 0.0000 0.5000 0.8590  2 W 2.42
Br 0.0000 0.5000 0.2270  6 W 2.98-3.29, 2 Br 3.19

- total moment (μB/cell) = 0.00



<D>
This record from Alexandria via LeMat-Bulk describes an optimized crystal structure of HgW2Br. The functional is PBE.

Cell: 4.1168 4.1168 19.4282 Å, 90.00 90.00 90.00°
Closest atoms and distances in Å follow each position.
Space group I-42d (No. 122)
One atom of each set of equivalent atoms:
Hg 0.0000 0.0000 0.0000  4 Br 2.91, 4 W 2.92
W 0.1934 0.2500 0.6250  2 W 2.60, 2 Br 2.76
Br 0.0000 0.0000 0.5000  4 W 2.76, 4 Hg 2.91

- total moment (μB/cell) = 0.00



It is <C> that is the most stable of them.



<A>
This record from Alexandria via LeMat-Bulk describes an optimized crystal structure of HgW2Br. The functional is PBE.

Cell: 2.8886 2.8886 8.6692 Å, 90.00 90.00 90.00°
Closest atoms and distances in Å follow each position.
Space group P4/mmm (No. 123)
One atom of each set of equivalent atoms:
Hg 0.0000 0.0000 0.0000  4 Hg 2.89, 8 W 3.01
W 0.5000 0.5000 0.2547  4 W 2.89, 4 Br 2.95, 4 Hg 3.01
Br 0.0000 0.0000 0.5000  4 Br 2.89, 8 W 2.95

- total moment (μB/cell) = 0.00



<B>
This record from Alexandria via LeMat-Bulk describes an optimized crystal structure of HgW2Br. The functional is PBE.

Cell: 2.8985 4.9895 5.2460 Å, 90.00 90.00 90.00°
Closest atoms and distances in Å follow each position.
Space group Pmmm (No. 47)
One atom of each set of equivalent atoms:
Hg 0.0000 0.0000 0.0000  4 W 2.89, 2 Hg 2.90, 4 Br 3.00
W 0.0000 0.5000 0.5000  4 Br 2.89, 6 W 2.90-3.00
W 0.5000 0.5000 0.0000  4 Hg 2.89, 6 W 2.90-3.00
Br 0.5000 0.0000 0.5000  4 W 2.89, 2 Br 2.90, 4 Hg 3.00

- total moment (μB/cell) = 0.00



It is <B> that is the most stable of them.



<A>
This record from Alexandria via LeMat-Bulk describes an optimized crystal structure of HgWBr2. The functional is PBE.

Cell: 3.3037 3.3037 33.8924 Å, 90.00 90.00 120.00°
Closest atoms and distances in Å follow each position.
Space group R-3m (No. 166, hexagonal axes)
One atom of each set of equivalent atoms:
Hg 0.0000 0.0000 0.0000  6 Hg 3.30
W 0.0000 0.0000 0.5000  6 Br 2.64
Br 0.0000 0.0000 0.1127  3 W 2.64

- total moment (μB/cell) = 0.00



<B>
This record from Alexandria via LeMat-Bulk describes an optimized crystal structure of HgWBr2. The functional is PBE.

Cell: 3.1526 4.8518 13.9469 Å, 90.00 90.00 90.00°
Closest atoms and distances in Å follow each position.
Space group Imm2 (No. 44)
One atom of each set of equivalent atoms:
Hg 0.0000 0.0000 0.0000  2 W 2.92, 2 Hg 3.15
W 0.0000 0.5000 0.6760  2 Br 2.57
Br 0.0000 0.0000 0.3219  2 W 2.57
Br 0.0000 0.5000 0.1583  4 W 2.90, 2 Br 3.15

- total moment (μB/cell) = 2.60



It is <A> that is the most stable of them.



<A>
This record from Alexandria via LeMat-Bulk describes an optimized crystal structure of HgWBr2. The functional is PBE.

Cell: 4.1128 4.1128 13.0624 Å, 90.00 90.00 90.00°
Closest atoms and distances in Å follow each position.
Space group I-4m2 (No. 119)
One atom of each set of equivalent atoms:
Hg 0.0000 0.0000 0.0000  4 Br 2.91
W 0.0000 0.5000 0.7500  4 Br 2.91
Br 0.0000 0.0000 0.5000  4 Hg 2.91
Br 0.0000 0.5000 0.2500  4 W 2.91

- total moment (μB/cell) = 9.36



<B>
This record from Alexandria via LeMat-Bulk describes an optimized crystal structure of HgWBr2. The functional is PBE.

Cell: 3.1967 3.1967 9.8369 Å, 90.00 90.00 90.00°
Closest atoms and distances in Å follow each position.
Space group P4/mmm (No. 123)
One atom of each set of equivalent atoms:
Hg 0.0000 0.0000 0.0000  4 Hg 3.20
W 0.0000 0.0000 0.5000  8 Br 2.76
Br 0.5000 0.5000 0.3386  4 W 2.76

- total moment (μB/cell) = 0.61



It is <B> that is the most stable of them.



<A>
This record from Alexandria via LeMat-Bulk describes an optimized crystal structure of HgWBr. The functional is PBE.

Cell: 4.7393 4.7393 3.0204 Å, 90.00 90.00 120.00°
Closest atoms and distances in Å follow each position.
Space group P-6m2 (No. 187)
One atom of each set of equivalent atoms:
Hg 0.0000 0.0000 0.0000  2 Hg 3.02, 6 W 3.13, 6 Br 3.13
W 0.6667 0.3333 0.5000  3 Br 2.74, 2 W 3.02
Br 0.3333 0.6667 0.5000  3 W 2.74, 2 Br 3.02

- total moment (μB/cell) = 0.00



<B>
This record from Alexandria via LeMat-Bulk describes an optimized crystal structure of HgWBr. The functional is PBE.

Cell: 6.4557 6.4557 6.4557 Å, 90.00 90.00 90.00°
Closest atoms and distances in Å follow each position.
Space group F-43m (No. 216)
One atom of each set of equivalent atoms:
Hg 0.0000 0.0000 0.0000  4 W 2.80
W 0.2500 0.2500 0.7500  4 Hg 2.80, 4 Br 2.80
Br 0.0000 0.0000 0.5000  4 W 2.80

- total moment (μB/cell) = 0.00



<C>
This record from Alexandria via LeMat-Bulk describes an optimized crystal structure of HgWBr. The functional is PBE.

Cell: 3.0924 3.0924 13.6495 Å, 90.00 90.00 90.00°
Closest atoms and distances in Å follow each position.
Space group I4mm (No. 107)
One atom of each set of equivalent atoms:
Hg 0.0000 0.0000 0.0000  4 W 2.95, 4 Hg 3.09
W 0.0000 0.0000 0.6447  4 Br 2.69, 4 Hg 2.95
Br 0.0000 0.0000 0.2596  4 W 2.69

- total moment (μB/cell) = 0.00



It is <C> that is the most stable of them.